# CdHgPd2 (PBE, relaxed)
data_CdHgPd2
_cell_length_a 3.0889
_cell_length_b 3.0889
_cell_length_c 26.5112
_cell_angle_alpha 90.00
_cell_angle_beta 90.00
_cell_angle_gamma 120.00
_space_group_name_H-M_alt 'R 3 m'
_space_group_IT_number 160
_space_group_name_Hall 'R 3 -2"'
loop_
_atom_site_label
_atom_site_type_symbol
_atom_site_fract_x
_atom_site_fract_y
_atom_site_fract_z
Cd1 Cd 0.0000 0.0000 0.0000
Hg1 Hg 0.0000 0.0000 0.8331
Pd1 Pd 0.0000 0.0000 0.4154
Pd2 Pd 0.0000 0.0000 0.5845
# - raw total energy (Ry per atom) = -0.2260
# - total magnetization (μB per formula unit) = 0.000
# - theoretical density (kg/m3) = 11958
# - crystal system = trigonal


# CdHg2Pd2 (PBE, relaxed)
data_CdHg2Pd2
_cell_length_a 7.183
_cell_length_b 7.183
_cell_length_c 3.840
_cell_angle_alpha 90.00
_cell_angle_beta 90.00
_cell_angle_gamma 90.00
_space_group_name_H-M_alt 'P 4/m b m'
_space_group_IT_number 127
_space_group_name_Hall '-P 4 2ab'
loop_
_atom_site_label
_atom_site_type_symbol
_atom_site_fract_x
_atom_site_fract_y
_atom_site_fract_z
Cd1 Cd 0.000 0.000 0.000
Hg1 Hg 0.160 0.340 0.500
Pd1 Pd 0.139 0.639 0.000
# - total magnetization (μB per formula unit) = 0.000
# - theoretical density (kg/m3) = 12178
# - crystal system = tetragonal
# - ΔE to the lowest computed polymorph (meV/atom) = 0.0


# CdHg3Pd6 (PBE, relaxed)
data_CdHg3Pd6
_cell_length_a 7.847
_cell_length_b 4.717
_cell_length_c 9.954
_cell_angle_alpha 90.00
_cell_angle_beta 109.10
_cell_angle_gamma 90.00
_space_group_name_H-M_alt 'P 1 21/m 1'
_space_group_IT_number 11
loop_
_space_group_symop_operation_xyz
'x,y,z'
'-x,-y,-z'
'-x,y+1/2,-z'
'x,-y+1/2,z'
loop_
_atom_site_label
_atom_site_type_symbol
_atom_site_fract_x
_atom_site_fract_y
_atom_site_fract_z
Cd1 Cd 0.057 0.250 0.389
Hg1 Hg 0.240 0.250 0.993
Hg2 Hg 0.347 0.750 0.803
Hg3 Hg 0.462 0.250 0.600
Pd1 Pd 0.047 0.750 0.905
Pd2 Pd 0.146 0.750 0.207
Pd3 Pd 0.150 0.250 0.688
Pd4 Pd 0.242 0.750 0.506
Pd5 Pd 0.350 0.250 0.293
Pd6 Pd 0.445 0.750 0.102
# - total magnetization (μB per formula unit) = 0.000
# - theoretical density (kg/m3) = 12903
# - crystal system = monoclinic
# - ΔE to the lowest computed polymorph (meV/atom) = 0.0


- Number 2 is which compound?
  CdHg2Pd2


- The highest theoretical density belongs to which entry?
  CdHg3Pd6


Please write out number 1 again, unchanged.
# CdHgPd2 (PBE, relaxed)
data_CdHgPd2
_cell_length_a 3.0889
_cell_length_b 3.0889
_cell_length_c 26.5112
_cell_angle_alpha 90.00
_cell_angle_beta 90.00
_cell_angle_gamma 120.00
_space_group_name_H-M_alt 'R 3 m'
_space_group_IT_number 160
_space_group_name_Hall 'R 3 -2"'
loop_
_atom_site_label
_atom_site_type_symbol
_atom_site_fract_x
_atom_site_fract_y
_atom_site_fract_z
Cd1 Cd 0.0000 0.0000 0.0000
Hg1 Hg 0.0000 0.0000 0.8331
Pd1 Pd 0.0000 0.0000 0.4154
Pd2 Pd 0.0000 0.0000 0.5845
# - raw total energy (Ry per atom) = -0.2260
# - total magnetization (μB per formula unit) = 0.000
# - theoretical density (kg/m3) = 11958
# - crystal system = trigonal